# NbTe2Se, relaxed, DFT GGA-PBE
data_NbTe2Se
_cell_length_a 6.9301
_cell_length_b 6.9301
_cell_length_c 7.4808
_cell_angle_alpha 62.41
_cell_angle_beta 62.41
_cell_angle_gamma 90.00
_space_group_name_H-M_alt 'P 1'
_space_group_IT_number 1
loop_
_space_group_symop_operation_xyz
'x,y,z'
loop_
_atom_site_label
_atom_site_type_symbol
_atom_site_fract_x
_atom_site_fract_y
_atom_site_fract_z
Te1 Te 0.6643 0.1250 0.2500
Te2 Te 0.3750 0.3357 0.7500
Te3 Te 0.0857 0.6250 0.2500
Te4 Te 0.8750 0.9143 0.7500
Se1 Se 0.2500 0.7500 0.5000
Se2 Se 0.5000 0.5000 0.0000
Nb1 Nb 0.7500 0.2500 0.5000
Nb2 Nb 0.0000 0.0000 0.0000
# VASP energy = -4.621 eV/atom
# formation energy (no corrections) = 0.3386 eV/atom
# spin magnetization = 0.00 μB per formula unit